1.
Density functional theory data (GGA-PBE) for an optimized crystal structure of Tb4AlTe2.

Computed properties:
For the formation energy without anion corrections, the calculation gives -772 meV per atom.

Unit cell a=4.1521 b=14.0666 c=14.5339 alpha=90.00 beta=90.00 gamma=90.00
Space group Cmcm (No. 63)
Symmetry-distinct sites (fractional):
Tb  0.0000  0.0000  0.0000 (multiplicity 4)
Tb  0.0000  0.2864  0.1329 (multiplicity 8)
Tb  0.0000  0.4461  0.7500 (multiplicity 4)
Al  0.0000  0.1007  0.7500 (multiplicity 4)
Te  0.0000  0.3564  0.5628 (multiplicity 8)

2.
Density functional theory data (GGA-PBE) for an optimized crystal structure of LaMg2Cu.

Computed properties:
Its calculated formation energy is -0.0555 eV/atom.

Unit cell a=12.3873 b=3.1728 c=5.2667 alpha=90.00 beta=115.05 gamma=90.00
Space group C2/m (No. 12)
Symmetry-distinct sites (fractional):
La  0.0000  0.0000  0.0000 (multiplicity 2)
Mg  0.2050  0.0000  0.7052 (multiplicity 4)
Cu  0.0000  0.5000  0.5000 (multiplicity 2)

3.
Density functional theory data (GGA-PBE) for an optimized crystal structure of Y2PdAu.

Computed properties:
Its calculated formation energy is -0.8655 eV/atom.

Unit cell a=3.5499 b=3.5499 c=7.1937 alpha=90.00 beta=90.00 gamma=90.00
Space group P4/mmm (No. 123)
Symmetry-distinct sites (fractional):
Y  0.0000  0.0000  0.2455 (multiplicity 2)
Pd  0.5000  0.5000  0.0000 (multiplicity 1)
Au  0.5000  0.5000  0.5000 (multiplicity 1)

4.
Density functional theory data (GGA-PBE) for an optimized crystal structure of YCo2SiBr.

Computed properties:
For the formation energy without anion corrections, the calculation gives 109 meV per atom.

Unit cell a=4.3217 b=4.3217 c=5.6446 alpha=90.00 beta=90.00 gamma=90.00
Space group P4/mmm (No. 123)
Symmetry-distinct sites (fractional):
Y  0.0000  0.0000  0.0000 (multiplicity 1)
Co  0.0000  0.5000  0.5000 (multiplicity 2)
Si  0.0000  0.0000  0.5000 (multiplicity 1)
Br  0.5000  0.5000  0.0000 (multiplicity 1)